# FeTcMoPb2

FeTcMoPb2 after structural relaxation (PBE, Alexandria).

Summary:
Energy of formation from the pure elements, eV/atom: 1.4461
Symmetry: P4/mmm, No. 123
E, eV per cell: -29.85

Cell: 5.286 4.767 5.286 Å, 90.00 90.00 90.00°
Sites, in units of the cell vectors:
Tc (0.000, 0.000, 0.000)
Fe (0.500, 0.500, 0.500)
Pb (0.500, 0.000, 0.000)
Pb (0.000, 0.000, 0.500)
Mo (0.000, 0.500, 0.000)



# Tb4GaPbN

Tb4GaPbN after structural relaxation (PBE, Alexandria).

Summary:
Formation energy from raw total energies, meV/atom: -815
Symmetry: Cmcm, No. 63
E, eV per cell: -78.58

Cell: 6.652 6.660 8.633 Å, 90.00 112.66 90.00°
Sites, in units of the cell vectors:
Ga (0.616, 0.750, 0.231)
Ga (0.384, 0.250, 0.769)
Tb (0.091, 0.750, 0.183)
Tb (0.500, 0.000, 0.500)
Tb (0.421, 0.750, 0.841)
Tb (0.500, 0.500, 0.500)
Tb (0.000, 0.500, 0.500)
Tb (0.000, 0.000, 0.500)
Tb (0.909, 0.250, 0.817)
Tb (0.579, 0.250, 0.159)
Pb (0.106, 0.250, 0.211)
Pb (0.894, 0.750, 0.789)
N (0.246, 0.750, 0.493)
N (0.754, 0.250, 0.507)



# RbCdP

RbCdP after structural relaxation (PBE, Alexandria).

Summary:
Energy of formation from the pure elements, eV/atom: -0.2861
Symmetry: Cmce, No. 64
E, eV per cell: -32.60

Cell: 8.700 8.585 6.858 Å, 128.75 90.00 90.00°
Sites, in units of the cell vectors:
Cd (0.351, 0.145, 0.000)
Cd (0.649, 0.855, 0.000)
Cd (0.149, 0.645, 0.000)
Cd (0.851, 0.355, 0.000)
Rb (0.500, 0.688, 0.377)
Rb (0.000, 0.812, 0.623)
Rb (0.000, 0.188, 0.377)
Rb (0.500, 0.312, 0.623)
P (0.147, 0.346, 0.000)
P (0.647, 0.154, 0.000)
P (0.353, 0.846, 0.000)
P (0.853, 0.654, 0.000)



Look up the E of the third one.
-32.60 eV per cell



What is the E in the first record?
-29.85 eV per cell



Which value of E does entry 2 give?
-78.58 eV per cell